No. 1
An optimized crystal structure of Li4GdBiO6, computed with PBE.

a = 5.565 Å, b = 5.565 Å, c = 5.286 Å
α = 99.45°, β = 99.45°, γ = 120.54°
Element x y z (fractional)
Li: 0.000 0.000 0.000
Li: 0.383 0.617 0.000
Li: 0.698 0.302 0.000
Li: 0.859 0.141 0.500
Gd: 0.193 0.807 0.500
Bi: 0.526 0.474 0.500
O: 0.130 0.392 0.250
O: 0.282 0.239 0.742
O: 0.455 0.087 0.252
O: 0.608 0.870 0.750
O: 0.761 0.718 0.258
O: 0.913 0.545 0.748

Properties
Total DFT energy (no corrections) ... -5.79 eV per atom
M_tot ... 0.00 μB per formula unit


No. 2
An optimized crystal structure of LiLaFeTe, computed with PBE.

a = 5.051 Å, b = 5.051 Å, c = 5.051 Å
α = 60.00°, β = 60.00°, γ = 60.00°
Element x y z (fractional)
Li: 0.000 0.000 0.000
La: 0.250 0.250 0.250
Fe: 0.750 0.750 0.750
Te: 0.500 0.500 0.500

Properties
Total DFT energy (no corrections) ... -4.57 eV per atom
Energy above the most stable polymorph in this dataset ... 270 meV/atom
M_tot ... 2.58 μB per formula unit


No. 3
An optimized crystal structure of GdErNp, computed with PBE.

a = 5.262 Å, b = 5.262 Å, c = 5.262 Å
α = 60.00°, β = 60.00°, γ = 60.00°
Element x y z (fractional)
Gd: 0.000 0.000 0.000
Er: 0.250 0.250 0.250
Np: 0.500 0.500 0.500

Properties
Total DFT energy (no corrections) ... -6.16 eV per atom
M_tot ... 5.08 μB per formula unit
Energy relative to the elements ... 1164 meV per atom


No. 4
An optimized crystal structure of ZnCoSbW, computed with PBE.

a = 4.469 Å, b = 4.469 Å, c = 4.469 Å
α = 60.00°, β = 60.00°, γ = 60.00°
Element x y z (fractional)
Zn: 0.000 0.000 0.000
Co: 0.500 0.500 0.500
Sb: 0.250 0.250 0.250
W: 0.750 0.750 0.750

Properties
Total DFT energy (no corrections) ... -5.67 eV per atom
Energy above the most stable polymorph in this dataset ... 180 meV/atom
M_tot ... 2.02 μB per formula unit